(1)
The following is a DFT calculation (PBE) of a relaxed structure of TlBP2I.

E_form (uncorrected) (meV per atom): 2022.3
DFT total energy (eV per atom): -2.260
Total moment (Bohr magnetons per cell): 0.003

a b c (Å): 5.2425 6.1704 5.2425
angles (deg): 90.00 90.00 90.00
Last column: nearest neighbours and their distance in Å.
Fractional positions:
I  0.0000  0.0000  0.0000  4 P 2.62
P  0.0000  0.0000  0.5000  2 I 2.62
P  0.5000  0.0000  0.0000  2 I 2.62
Tl  0.0000  0.5000  0.0000  2 I 3.09
B  0.5000  0.5000  0.5000  4 Tl 3.71, 8 P 4.05


(2)
The following is a DFT calculation (PBE) of a relaxed structure of Y2BPI.

E_form (uncorrected) (meV per atom): 863.4
DFT total energy (eV per atom): -4.450
Total moment (Bohr magnetons per cell): 0.000

a b c (Å): 5.6000 4.3433 5.6000
angles (deg): 90.00 90.00 90.00
Last column: nearest neighbours and their distance in Å.
Fractional positions:
I  0.0000  0.0000  0.0000  2 B 2.17
Y  0.0000  0.0000  0.5000  2 I 2.80
Y  0.5000  0.0000  0.0000  2 I 2.80
B  0.0000  0.5000  0.0000  2 I 2.17
P  0.5000  0.5000  0.5000  8 Y 3.54, 4 B 3.96


(3)
The following is a DFT calculation (PBE) of a relaxed structure of PaBI.

E_form (uncorrected) (meV per atom): 134.7
DFT total energy (eV per atom): -5.773
E above lowest polymorph (eV per formula unit): 2.01
Total moment (Bohr magnetons per cell): 0.000

a b c (Å): 7.0936 7.2799 7.0936
angles (deg): 75.49 60.93 104.51
Last column: nearest neighbours and their distance in Å.
Fractional positions:
I  0.8966  0.2907  0.3962  2 B 3.11-3.15, 4 Pa 3.13-3.26
I  0.8560  0.2093  0.9368  2 B 3.11-3.15, 4 Pa 3.13-3.26
I  0.8538  0.7907  0.3534  2 B 3.11-3.15, 4 Pa 3.13-3.26
I  0.3132  0.7093  0.3940  2 B 3.11-3.15, 4 Pa 3.13-3.26
Pa  0.0908  0.9987  0.5881  4 B 2.54-2.63
Pa  0.6619  0.4987  0.1592  4 B 2.54-2.63
Pa  0.4132  0.0013  0.9079  4 B 2.54-2.63
Pa  0.3421  0.5013  0.8368  4 B 2.54-2.63
B  0.3816  0.2566  0.6164  4 Pa 2.54-2.63
B  0.6336  0.7566  0.8684  4 Pa 2.54-2.63
B  0.3750  0.2434  0.1230  4 Pa 2.54-2.63
B  0.1270  0.7434  0.8750  4 Pa 2.54-2.63


(4)
The following is a DFT calculation (PBE) of a relaxed structure of PaBI.

E_form (uncorrected) (meV per atom): -533.9
DFT total energy (eV per atom): -6.442
E above lowest polymorph (eV per formula unit): 0.00
Total moment (Bohr magnetons per cell): 1.023

a b c (Å): 3.5353 3.5353 12.8513
angles (deg): 90.13 97.78 120.00
Last column: nearest neighbours and their distance in Å.
Fractional positions:
Pa  0.9041  0.4509  0.3550  6 B 2.74-2.75
Pa  0.0959  0.5491  0.6450  6 B 2.74-2.75
B  0.3331  0.1665  0.4996  3 B 2.04
B  0.6669  0.8335  0.5004  3 B 2.04
I  0.5537  0.2796  0.8333  3 Pa 3.14
I  0.4463  0.7204  0.1667  3 Pa 3.14


(5)
The following is a DFT calculation (PBE) of a relaxed structure of BPb2I2.

E_form (uncorrected) (meV per atom): 742.0
DFT total energy (eV per atom): -2.697
E above lowest polymorph (eV per formula unit): 0.00
Total moment (Bohr magnetons per cell): 0.000

a b c (Å): 7.1814 7.1814 6.4800
angles (deg): 90.00 90.00 90.00
Last column: nearest neighbours and their distance in Å.
Fractional positions:
Pb  0.2424  0.7424  0.5000  2 I 3.24, 4 Pb 3.59
Pb  0.7424  0.7576  0.5000  2 I 3.24, 4 Pb 3.59
Pb  0.7576  0.2576  0.5000  2 I 3.24, 4 Pb 3.59
Pb  0.2576  0.2424  0.5000  2 I 3.24, 4 Pb 3.59
I  0.2509  0.7509  0.0000  2 B 2.54
I  0.7509  0.7491  0.0000  2 B 2.54
I  0.7491  0.2491  0.0000  2 B 2.54
I  0.2491  0.2509  0.0000  2 B 2.54
B  0.0000  0.0000  0.0000  4 I 2.54
B  0.5000  0.5000  0.0000  4 I 2.54


(6)
The following is a DFT calculation (PBE) of a relaxed structure of BPbI.

E_form (uncorrected) (meV per atom): 436.9
DFT total energy (eV per atom): -3.542
Total moment (Bohr magnetons per cell): 0.000

a b c (Å): 4.1848 7.6892 11.4329
angles (deg): 76.35 90.00 90.00
Last column: nearest neighbours and their distance in Å.
Fractional positions:
Pb  0.4573  0.7015  0.8698  2 B 2.40-2.42
Pb  0.9573  0.7985  0.1302  2 B 2.40-2.42
Pb  0.5427  0.2985  0.1302  2 B 2.40-2.42
Pb  0.0427  0.2015  0.8698  2 B 2.40-2.42
B  0.4079  0.9604  0.9524  1 B 1.57
B  0.9079  0.5396  0.0476  1 B 1.57
B  0.5921  0.0396  0.0476  1 B 1.57
B  0.0921  0.4604  0.9524  1 B 1.57
I  0.4177  0.6922  0.3363  2 Pb 3.00-3.23
I  0.9177  0.8078  0.6637  2 Pb 3.00-3.23
I  0.5823  0.3078  0.6637  2 Pb 3.00-3.23
I  0.0823  0.1922  0.3363  2 Pb 3.00-3.23


(7)
The following is a DFT calculation (PBE) of a relaxed structure of B2PbI.

E_form (uncorrected) (meV per atom): 1909.6
DFT total energy (eV per atom): -2.744
E above lowest polymorph (eV per formula unit): 1.91
Total moment (Bohr magnetons per cell): 0.000

a b c (Å): 4.8036 4.8036 4.8036
angles (deg): 60.00 60.00 60.00
Last column: nearest neighbours and their distance in Å.
Fractional positions:
Pb  0.5000  0.5000  0.5000  8 B 2.94
I  0.0000  0.0000  0.0000  8 B 2.94
B  0.2500  0.2500  0.2500  4 Pb 2.94, 4 I 2.94
B  0.7500  0.7500  0.7500  4 Pb 2.94, 4 I 2.94


(8)
The following is a DFT calculation (PBE) of a relaxed structure of B2PbI.

E_form (uncorrected) (meV per atom): 1432.8
DFT total energy (eV per atom): -3.221
E above lowest polymorph (eV per formula unit): 0.00
Total moment (Bohr magnetons per cell): 0.000

a b c (Å): 5.5281 5.5281 7.0613
angles (deg): 66.96 66.96 90.00
Last column: nearest neighbours and their distance in Å.
Fractional positions:
Pb  0.0000  0.0000  0.0000  4 B 2.39
Pb  0.7500  0.2500  0.5000  4 B 2.39
I  0.5000  0.5000  0.0000  4 B 2.50
I  0.2500  0.7500  0.5000  4 B 2.50
B  0.6423  0.1250  0.2500  2 Pb 2.39, 2 I 2.50
B  0.1077  0.6250  0.2500  2 Pb 2.39, 2 I 2.50
B  0.3750  0.3577  0.7500  2 Pb 2.39, 2 I 2.50
B  0.8750  0.8923  0.7500  2 Pb 2.39, 2 I 2.50


(9)
The following is a DFT calculation (PBE) of a relaxed structure of BPb2I.

E_form (uncorrected) (meV per atom): 558.9
DFT total energy (eV per atom): -3.352
E above lowest polymorph (eV per formula unit): 0.00
Total moment (Bohr magnetons per cell): 0.000

a b c (Å): 7.4322 7.4322 6.9176
angles (deg): 57.51 57.51 90.00
Last column: nearest neighbours and their distance in Å.
Fractional positions:
Pb  0.5118  0.1250  0.2500  2 B 2.40
Pb  0.2382  0.6250  0.2500  2 B 2.40
Pb  0.3750  0.4882  0.7500  2 B 2.40
Pb  0.8750  0.7618  0.7500  2 B 2.40
I  0.0000  0.0000  0.0000  4 Pb 3.46
I  0.7500  0.2500  0.5000  4 Pb 3.46
B  0.5000  0.5000  0.0000  4 Pb 2.40
B  0.2500  0.7500  0.5000  4 Pb 2.40


(10)
The following is a DFT calculation (PBE) of a relaxed structure of BPb3I.

E_form (uncorrected) (meV per atom): 1594.2
DFT total energy (eV per atom): -2.276
E above lowest polymorph (eV per formula unit): 5.07
Total moment (Bohr magnetons per cell): 0.000

a b c (Å): 6.0254 6.0254 6.0254
angles (deg): 90.00 90.00 90.00
Last column: nearest neighbours and their distance in Å.
Fractional positions:
Pb  0.0000  0.5000  0.0000  2 I 3.01
Pb  0.0000  0.0000  0.5000  2 I 3.01
Pb  0.5000  0.0000  0.0000  2 I 3.01
I  0.0000  0.0000  0.0000  6 Pb 3.01
B  0.5000  0.5000  0.5000  12 Pb 4.26


(11)
The following is a DFT calculation (PBE) of a relaxed structure of B2PbI8.

E_form (uncorrected) (meV per atom): -180.8
DFT total energy (eV per atom): -2.859
Total moment (Bohr magnetons per cell): 0.000

a b c (Å): 10.9986 11.5473 11.7367
angles (deg): 54.72 62.06 61.56
Last column: nearest neighbours and their distance in Å.
Fractional positions:
B  0.8557  0.8687  0.9394  4 I 2.19-2.31
B  0.3361  0.3687  0.4394  4 I 2.19-2.31
B  0.6639  0.6313  0.5606  4 I 2.19-2.31
B  0.1443  0.1313  0.0606  4 I 2.19-2.31
Pb  0.0321  0.7500  0.2500  8 I 3.32-3.53
Pb  0.9679  0.2500  0.7500  8 I 3.32-3.53
I  0.4650  0.7280  0.4975  1 B 2.19
I  0.1005  0.9659  0.3002  1 B 2.28
I  0.7812  0.9984  0.0650  1 B 2.31
I  0.2578  0.1924  0.4853  1 B 2.27
I  0.2188  0.0016  0.9350  1 B 2.31
I  0.9355  0.3076  0.0147  1 B 2.27
I  0.7422  0.8076  0.5147  1 B 2.27
I  0.1555  0.4984  0.5650  1 B 2.31
I  0.0645  0.6924  0.9853  1 B 2.27
I  0.6905  0.7720  0.0025  1 B 2.19
I  0.6335  0.4659  0.8002  1 B 2.28
I  0.3665  0.5341  0.1998  1 B 2.28
I  0.3095  0.2280  0.9975  1 B 2.19
I  0.8445  0.5016  0.4350  1 B 2.31
I  0.5350  0.2720  0.5025  1 B 2.19
I  0.8995  0.0341  0.6998  1 B 2.28


(12)
The following is a DFT calculation (PBE) of a relaxed structure of BPb2I.

E_form (uncorrected) (meV per atom): 1049.9
DFT total energy (eV per atom): -2.861
E above lowest polymorph (eV per formula unit): 1.96
Total moment (Bohr magnetons per cell): 0.000

a b c (Å): 5.3811 5.3811 5.3811
angles (deg): 60.00 60.00 60.00
Last column: nearest neighbours and their distance in Å.
Fractional positions:
Pb  0.2500  0.2500  0.2500  4 I 3.30, 4 B 3.30
Pb  0.7500  0.7500  0.7500  4 I 3.30, 4 B 3.30
I  0.5000  0.5000  0.5000  8 Pb 3.30
B  0.0000  0.0000  0.0000  8 Pb 3.30